Entry 1:
DFT (PBE-GGA) results for SrNi2Pb after structural relaxation.

Computed properties:
Fermi-level density of states, states/eV/f.u.: 2.94

a b c (Å): 4.7525 4.7525 3.5953
angles (deg): 90.00 90.00 90.00
Closest atoms and distances in Å follow each position.
Space group P4/mmm (No. 123)
Symmetry-distinct sites (fractional):
Sr (0.0000, 0.0000, 0.0000) (multiplicity 1)  8 Ni 2.98
Ni (0.0000, 0.5000, 0.5000) (multiplicity 2)  4 Pb 2.98, 4 Sr 2.98
Pb (0.5000, 0.5000, 0.0000) (multiplicity 1)  8 Ni 2.98

=====

Entry 2:
DFT (PBE-GGA) results for SrNi2Pb after structural relaxation.

Computed properties:
Fermi-level density of states, states/eV/f.u.: 1.80

a b c (Å): 4.4827 4.4827 15.8641
angles (deg): 90.00 90.00 120.00
Closest atoms and distances in Å follow each position.
Space group R-3m (No. 166, hexagonal axes)
Symmetry-distinct sites (fractional):
Sr (0.0000, 0.0000, 0.0000) (multiplicity 3)  2 Ni 2.98
Ni (0.0000, 0.0000, 0.1879) (multiplicity 6)  3 Pb 2.61, 3 Ni 2.67
Pb (0.0000, 0.0000, 0.5000) (multiplicity 3)  6 Ni 2.61

=====

Entry 3:
DFT (PBE-GGA) results for SrNiPb2 after structural relaxation.

Computed properties:
Fermi-level density of states, states/eV/f.u.: 2.55

a b c (Å): 11.5644 3.8020 5.9282
angles (deg): 90.00 119.22 90.00
Closest atoms and distances in Å follow each position.
Space group Cm (No. 8)
Symmetry-distinct sites (fractional):
Sr (0.0000, 0.0000, 0.0000) (multiplicity 2)  3 Ni 3.12-3.28, 1 Pb 3.47
Ni (0.2407, 0.5000, 0.0405) (multiplicity 2)  4 Pb 2.70
Pb (0.1815, 0.0000, 0.6760) (multiplicity 2)  2 Ni 2.70
Pb (0.3696, 0.0000, 0.4006) (multiplicity 2)  2 Ni 2.70

=====

Entry 4:
DFT (PBE-GGA) results for SrNi2Pb after structural relaxation.

Computed properties:
Fermi-level density of states, states/eV/f.u.: 5.73

a b c (Å): 4.1870 4.1870 18.0855
angles (deg): 90.00 90.00 120.00
Closest atoms and distances in Å follow each position.
Space group R3m (No. 160, hexagonal axes)
Symmetry-distinct sites (fractional):
Sr (0.0000, 0.0000, 0.0000) (multiplicity 3)  6 Ni 3.20-3.21, 4 Pb 3.43-3.55
Ni (0.0000, 0.0000, 0.2174) (multiplicity 3)  3 Ni 2.42
Ni (0.0000, 0.0000, 0.5500) (multiplicity 3)  3 Ni 2.42
Pb (0.0000, 0.0000, 0.8103) (multiplicity 3)  6 Ni 2.76

=====

Entry 5:
DFT (PBE-GGA) results for SrNiPb2 after structural relaxation.

Computed properties:
Fermi-level density of states, states/eV/f.u.: 2.07

a b c (Å): 3.6415 5.9102 10.0753
angles (deg): 90.00 90.00 90.00
Closest atoms and distances in Å follow each position.
Space group Immm (No. 71)
Symmetry-distinct sites (fractional):
Sr (0.0000, 0.0000, 0.0000) (multiplicity 2)  4 Ni 3.47, 8 Pb 3.53-3.57, 2 Sr 3.64
Ni (0.0000, 0.0000, 0.5000) (multiplicity 2)  4 Pb 2.71
Pb (0.0000, 0.5000, 0.1996) (multiplicity 4)  2 Ni 2.71

=====

Entry 6:
DFT (PBE-GGA) results for SrNi2Pb after structural relaxation.

Computed properties:
Fermi-level density of states, states/eV/f.u.: 2.89

a b c (Å): 4.1587 4.1587 9.5875
angles (deg): 90.00 90.00 90.00
Closest atoms and distances in Å follow each position.
Space group I-4m2 (No. 119)
Symmetry-distinct sites (fractional):
Sr (0.0000, 0.0000, 0.0000) (multiplicity 2)  8 Ni 2.94-3.17, 4 Pb 3.17
Ni (0.0000, 0.0000, 0.5000) (multiplicity 2)  4 Sr 2.94, 4 Pb 3.17, 4 Ni 3.17
Ni (0.0000, 0.5000, 0.7500) (multiplicity 2)  4 Pb 2.94, 4 Ni 3.17, 4 Sr 3.17
Pb (0.0000, 0.5000, 0.2500) (multiplicity 2)  8 Ni 2.94-3.17, 4 Sr 3.17

=====

Entry 7:
DFT (PBE-GGA) results for SrNiPb2 after structural relaxation.

Computed properties:
Fermi-level density of states, states/eV/f.u.: 1.23

a b c (Å): 7.4424 7.4424 7.4424
angles (deg): 90.00 90.00 90.00
Closest atoms and distances in Å follow each position.
Space group Fm-3m (No. 225)
Symmetry-distinct sites (fractional):
Sr (0.0000, 0.0000, 0.0000) (multiplicity 4)  8 Pb 3.22
Ni (0.0000, 0.0000, 0.5000) (multiplicity 4)  8 Pb 3.22
Pb (0.2500, 0.2500, 0.2500) (multiplicity 8)  4 Ni 3.22, 4 Sr 3.22

=====

Entry 8:
DFT (PBE-GGA) results for SrNiPb2 after structural relaxation.

Computed properties:
Fermi-level density of states, states/eV/f.u.: 1.50

a b c (Å): 7.5364 7.5364 7.5364
angles (deg): 90.00 90.00 90.00
Closest atoms and distances in Å follow each position.
Space group F-43m (No. 216)
Symmetry-distinct sites (fractional):
Sr (0.0000, 0.0000, 0.0000) (multiplicity 4)  4 Pb 3.26, 4 Ni 3.26
Ni (0.2500, 0.2500, 0.2500) (multiplicity 4)  4 Pb 3.26, 4 Sr 3.26
Pb (0.0000, 0.0000, 0.5000) (multiplicity 4)  4 Pb 3.26, 4 Ni 3.26
Pb (0.2500, 0.2500, 0.7500) (multiplicity 4)  4 Pb 3.26, 4 Sr 3.26

=====

Entry 9:
DFT (PBE-GGA) results for SrNiPb after structural relaxation.

Computed properties:
Fermi-level density of states, states/eV/f.u.: 2.11

a b c (Å): 4.5579 4.5579 4.5077
angles (deg): 90.00 90.00 120.00
Closest atoms and distances in Å follow each position.
Space group P-6m2 (No. 187)
Symmetry-distinct sites (fractional):
Sr (0.0000, 0.0000, 0.0000) (multiplicity 1)  6 Pb 3.46, 6 Ni 3.46
Ni (0.6667, 0.3333, 0.5000) (multiplicity 1)  3 Pb 2.63
Pb (0.3333, 0.6667, 0.5000) (multiplicity 1)  3 Ni 2.63

=====

Entry 10:
DFT (PBE-GGA) results for SrNiPb3 after structural relaxation.

Computed properties:
Fermi-level density of states, states/eV/f.u.: 8.23

a b c (Å): 6.0644 6.0644 6.0644
angles (deg): 90.00 90.00 90.00
Closest atoms and distances in Å follow each position.
Space group Pm-3m (No. 221)
Symmetry-distinct sites (fractional):
Sr (0.0000, 0.0000, 0.0000) (multiplicity 1)  6 Pb 3.03
Ni (0.5000, 0.5000, 0.5000) (multiplicity 1)  12 Pb 4.29
Pb (0.0000, 0.0000, 0.5000) (multiplicity 3)  2 Sr 3.03

=====

Entry 11:
DFT (PBE-GGA) results for SrNiPb after structural relaxation.

Computed properties:
Fermi-level density of states, states/eV/f.u.: 2.41

a b c (Å): 6.5864 12.4149 7.8184
angles (deg): 90.00 90.00 90.00
Closest atoms and distances in Å follow each position.
Space group Cmce (No. 64)
Symmetry-distinct sites (fractional):
Sr (0.0000, 0.1859, 0.0994) (multiplicity 8)  2 Ni 2.98-3.06
Ni (0.0000, 0.0875, 0.4468) (multiplicity 8)  1 Ni 2.33
Pb (0.2500, 0.0526, 0.7500) (multiplicity 8)  4 Ni 2.85-2.92

=====

Entry 12:
DFT (PBE-GGA) results for SrNiPb2 after structural relaxation.

Computed properties:
Fermi-level density of states, states/eV/f.u.: 2.47

a b c (Å): 3.5486 3.5486 8.0704
angles (deg): 90.00 90.00 90.00
Closest atoms and distances in Å follow each position.
Space group P4/mmm (No. 123)
Symmetry-distinct sites (fractional):
Sr (0.0000, 0.0000, 0.0000) (multiplicity 1)  8 Pb 3.52, 4 Sr 3.55
Ni (0.0000, 0.0000, 0.5000) (multiplicity 1)  8 Pb 2.95
Pb (0.5000, 0.5000, 0.3068) (multiplicity 2)  4 Ni 2.95, 1 Pb 3.12

=====

Entry 13:
DFT (PBE-GGA) results for SrNiPb3 after structural relaxation.

Computed properties:
Fermi-level density of states, states/eV/f.u.: 1.67

a b c (Å): 5.2852 5.2852 5.2852
angles (deg): 90.00 90.00 90.00
Closest atoms and distances in Å follow each position.
Space group Pm-3m (No. 221)
Symmetry-distinct sites (fractional):
Sr (0.0000, 0.0000, 0.0000) (multiplicity 1)  12 Pb 3.74
Ni (0.5000, 0.5000, 0.5000) (multiplicity 1)  6 Pb 2.64
Pb (0.0000, 0.5000, 0.5000) (multiplicity 3)  2 Ni 2.64

=====

Entry 14:
DFT (PBE-GGA) results for SrNiPb2 after structural relaxation.

Computed properties:
Fermi-level density of states, states/eV/f.u.: 3.54

a b c (Å): 4.8214 4.8214 9.2204
angles (deg): 90.00 90.00 90.00
Closest atoms and distances in Å follow each position.
Space group I-4m2 (No. 119)
Symmetry-distinct sites (fractional):
Sr (0.0000, 0.0000, 0.0000) (multiplicity 2)  8 Pb 3.34-3.41, 4 Ni 3.34
Ni (0.0000, 0.5000, 0.7500) (multiplicity 2)  8 Pb 3.34-3.41, 4 Sr 3.34
Pb (0.0000, 0.0000, 0.5000) (multiplicity 2)  4 Pb 3.34, 4 Ni 3.34, 4 Sr 3.41
Pb (0.0000, 0.5000, 0.2500) (multiplicity 2)  4 Pb 3.34, 4 Sr 3.34, 4 Ni 3.41

=====

Entry 15:
DFT (PBE-GGA) results for SrNiPb after structural relaxation.

Computed properties:
Fermi-level density of states, states/eV/f.u.: 2.20

a b c (Å): 3.6373 3.6373 11.5124
angles (deg): 90.00 90.00 90.00
Closest atoms and distances in Å follow each position.
Space group I4mm (No. 107)
Symmetry-distinct sites (fractional):
Sr (0.0000, 0.0000, 0.0000) (multiplicity 2)  5 Pb 3.28-3.57, 5 Ni 3.39-3.54, 4 Sr 3.64
Ni (0.0000, 0.0000, 0.3076) (multiplicity 2)  4 Pb 2.78
Pb (0.0000, 0.0000, 0.7154) (multiplicity 2)  4 Ni 2.78

=====

Entry 16:
DFT (PBE-GGA) results for SrNi2Pb after structural relaxation.

Computed properties:
Fermi-level density of states, states/eV/f.u.: 3.63

a b c (Å): 6.9460 6.9460 6.9460
angles (deg): 90.00 90.00 90.00
Closest atoms and distances in Å follow each position.
Space group F-43m (No. 216)
Symmetry-distinct sites (fractional):
Sr (0.0000, 0.0000, 0.0000) (multiplicity 4)  4 Pb 3.01, 4 Ni 3.01
Ni (0.0000, 0.0000, 0.5000) (multiplicity 4)  4 Ni 3.01, 4 Pb 3.01
Ni (0.2500, 0.2500, 0.7500) (multiplicity 4)  4 Ni 3.01, 4 Sr 3.01
Pb (0.2500, 0.2500, 0.2500) (multiplicity 4)  4 Ni 3.01, 4 Sr 3.01

=====

Entry 17:
DFT (PBE-GGA) results for SrNi2Pb after structural relaxation.

Computed properties:
Fermi-level density of states, states/eV/f.u.: 3.94

a b c (Å): 3.3738 3.3738 7.3553
angles (deg): 90.00 90.00 90.00
Closest atoms and distances in Å follow each position.
Space group P4mm (No. 99)
Symmetry-distinct sites (fractional):
Sr (0.0000, 0.0000, 0.0000) (multiplicity 1)  5 Ni 2.93-3.11
Ni (0.0000, 0.0000, 0.3988) (multiplicity 1)  4 Ni 2.56
Ni (0.5000, 0.5000, 0.2713) (multiplicity 1)  4 Ni 2.56, 1 Pb 2.60
Pb (0.5000, 0.5000, 0.6253) (multiplicity 1)  5 Ni 2.60-2.91

=====

Entry 18:
DFT (PBE-GGA) results for SrNiPb2 after structural relaxation.

Computed properties:
Fermi-level density of states, states/eV/f.u.: 3.38

a b c (Å): 6.6359 6.6431 4.7997
angles (deg): 90.00 90.00 90.00
Closest atoms and distances in Å follow each position.
Space group Cmmm (No. 65)
Symmetry-distinct sites (fractional):
Sr (0.0000, 0.0000, 0.0000) (multiplicity 2)  4 Ni 3.32, 8 Pb 3.36
Ni (0.0000, 0.5000, 0.0000) (multiplicity 2)  4 Sr 3.32, 8 Pb 3.36
Pb (0.2500, 0.2500, 0.5000) (multiplicity 4)  4 Pb 3.32, 4 Sr 3.36, 4 Ni 3.36

=====

Entry 19:
DFT (PBE-GGA) results for SrNiPb2 after structural relaxation.

Computed properties:
Fermi-level density of states, states/eV/f.u.: 2.39

a b c (Å): 3.6959 4.4352 13.5910
angles (deg): 90.00 90.00 90.00
Closest atoms and distances in Å follow each position.
Space group Imm2 (No. 44)
Symmetry-distinct sites (fractional):
Sr (0.0000, 0.0000, 0.0000) (multiplicity 2)  6 Pb 3.40-3.45, 2 Ni 3.48, 2 Sr 3.70
Ni (0.0000, 0.5000, 0.2834) (multiplicity 2)  6 Pb 2.70-2.91
Pb (0.0000, 0.0000, 0.6387) (multiplicity 2)  2 Ni 2.70
Pb (0.0000, 0.5000, 0.8100) (multiplicity 2)  4 Ni 2.91, 2 Pb 3.22

=====

Entry 20:
DFT (PBE-GGA) results for SrNi4Pb after structural relaxation.

Computed properties:
Fermi-level density of states, states/eV/f.u.: 4.59

a b c (Å): 7.2849 7.2849 7.2849
angles (deg): 90.00 90.00 90.00
Closest atoms and distances in Å follow each position.
Space group F-43m (No. 216)
Symmetry-distinct sites (fractional):
Sr (0.0000, 0.0000, 0.0000) (multiplicity 4)  12 Ni 3.02, 4 Pb 3.15
Ni (0.1237, 0.1237, 0.3763) (multiplicity 16)  6 Ni 2.55-2.60
Pb (0.2500, 0.2500, 0.7500) (multiplicity 4)  12 Ni 3.02, 4 Sr 3.15

=====

Taking the records one at a time from the top gives calculated formation energy values of 0.19, -0.12, -0.10, -0.12, -0.11, 0.28, 0.06, 0.10, -0.21, 1.37, -0.08, -0.03, -0.10, 0.08, -0.05, 0.38, 0.13, 0.05, -0.04, 0.02 eV/atom.
Taking the records one at a time from the top gives magnetic moment values of 0.0, 0.0, 0.0, 0.0, 0.0, 0.0, 0.0, 0.0, 0.0, 0.0, 0.0, 0.0, 0.0, 0.0, 0.0, 0.0, 0.3, 0.0, 0.0, 0.0 μB/cell.
Taking the records one at a time from the top gives electronic total energy values of -4.044, -4.356, -3.823, -4.360, -3.830, -3.962, -3.656, -3.623, -3.936, -2.345, -3.800, -3.749, -3.818, -3.635, -3.776, -3.859, -4.113, -3.665, -3.756, -4.732 eV per atom.